A) # BeCdAs3 (PBE, relaxed)
data_BeCdAs3
_chemical_formula_sum 'Be1 Cd1 As3'
_symmetry_space_group_name_H-M 'P m -3 m'
_symmetry_Int_Tables_number 221
_symmetry_space_group_name_Hall '-P 4 2 3'
_cell_length_a 5.1176
_cell_length_b 5.1176
_cell_length_c 5.1176
_cell_angle_alpha 90.00
_cell_angle_beta 90.00
_cell_angle_gamma 90.00
loop_
_atom_site_label
_atom_site_type_symbol
_atom_site_fract_x
_atom_site_fract_y
_atom_site_fract_z
Be1 Be 0.0000 0.0000 0.0000
Cd1 Cd 0.5000 0.5000 0.5000
As1 As 0.0000 0.5000 0.5000
# spin magnetization: 0.00 μB per formula unit

***

B) # BeCdAs3 (PBE, relaxed)
data_BeCdAs3
_chemical_formula_sum 'Be1 Cd1 As3'
_symmetry_space_group_name_H-M 'P m -3 m'
_symmetry_Int_Tables_number 221
_symmetry_space_group_name_Hall '-P 4 2 3'
_cell_length_a 4.5940
_cell_length_b 4.5940
_cell_length_c 4.5940
_cell_angle_alpha 90.00
_cell_angle_beta 90.00
_cell_angle_gamma 90.00
loop_
_atom_site_label
_atom_site_type_symbol
_atom_site_fract_x
_atom_site_fract_y
_atom_site_fract_z
Be1 Be 0.0000 0.0000 0.0000
Cd1 Cd 0.5000 0.5000 0.5000
As1 As 0.0000 0.0000 0.5000
# spin magnetization: 0.00 μB per formula unit

***

Pick B): it beats the second-best structure by 989 meV per atom.

***

A) # Be3CdAs (PBE, relaxed)
data_Be3CdAs
_chemical_formula_sum 'Be3 Cd1 As1'
_symmetry_space_group_name_H-M 'P m -3 m'
_symmetry_Int_Tables_number 221
_symmetry_space_group_name_Hall '-P 4 2 3'
_cell_length_a 4.3607
_cell_length_b 4.3607
_cell_length_c 4.3607
_cell_angle_alpha 90.00
_cell_angle_beta 90.00
_cell_angle_gamma 90.00
loop_
_atom_site_label
_atom_site_type_symbol
_atom_site_fract_x
_atom_site_fract_y
_atom_site_fract_z
Be1 Be 0.0000 0.0000 0.5000
Cd1 Cd 0.5000 0.5000 0.5000
As1 As 0.0000 0.0000 0.0000
# spin magnetization: 0.00 μB per formula unit

***

B) # Be3CdAs (PBE, relaxed)
data_Be3CdAs
_chemical_formula_sum 'Be3 Cd1 As1'
_symmetry_space_group_name_H-M 'P m -3 m'
_symmetry_Int_Tables_number 221
_symmetry_space_group_name_Hall '-P 4 2 3'
_cell_length_a 4.4360
_cell_length_b 4.4360
_cell_length_c 4.4360
_cell_angle_alpha 90.00
_cell_angle_beta 90.00
_cell_angle_gamma 90.00
loop_
_atom_site_label
_atom_site_type_symbol
_atom_site_fract_x
_atom_site_fract_y
_atom_site_fract_z
Be1 Be 0.0000 0.0000 0.5000
Cd1 Cd 0.0000 0.0000 0.0000
As1 As 0.5000 0.5000 0.5000
# spin magnetization: 0.00 μB per formula unit

***

Pick A): it beats the second-best structure by 384 meV per atom.

***

A) # BeCdAsSe2 (PBE, relaxed)
data_BeCdAsSe2
_chemical_formula_sum 'Be1 Cd1 As1 Se2'
_symmetry_space_group_name_H-M 'P 4/m m m'
_symmetry_Int_Tables_number 123
_symmetry_space_group_name_Hall '-P 4 2'
_cell_length_a 4.9319
_cell_length_b 4.9319
_cell_length_c 4.2209
_cell_angle_alpha 90.00
_cell_angle_beta 90.00
_cell_angle_gamma 90.00
loop_
_atom_site_label
_atom_site_type_symbol
_atom_site_fract_x
_atom_site_fract_y
_atom_site_fract_z
Be1 Be 0.0000 0.0000 0.0000
Cd1 Cd 0.5000 0.5000 0.5000
As1 As 0.0000 0.0000 0.5000
Se1 Se 0.0000 0.5000 0.0000
# spin magnetization: 0.00 μB per formula unit

***

B) # BeCdAsSe2 (PBE, relaxed)
data_BeCdAsSe2
_chemical_formula_sum 'Be1 Cd1 As1 Se2'
_symmetry_space_group_name_H-M 'P 4/m m m'
_symmetry_Int_Tables_number 123
_symmetry_space_group_name_Hall '-P 4 2'
_cell_length_a 5.2136
_cell_length_b 5.2136
_cell_length_c 5.1376
_cell_angle_alpha 90.00
_cell_angle_beta 90.00
_cell_angle_gamma 90.00
loop_
_atom_site_label
_atom_site_type_symbol
_atom_site_fract_x
_atom_site_fract_y
_atom_site_fract_z
Be1 Be 0.0000 0.0000 0.0000
Cd1 Cd 0.5000 0.5000 0.5000
As1 As 0.5000 0.5000 0.0000
Se1 Se 0.0000 0.5000 0.5000
# spin magnetization: 0.70 μB per formula unit

***

Pick A): it beats the second-best structure by 923 meV per atom.

***

A) # BeTlCdAs2 (PBE, relaxed)
data_BeTlCdAs2
_chemical_formula_sum 'Be1 Tl1 Cd1 As2'
_symmetry_space_group_name_H-M 'P 4/m m m'
_symmetry_Int_Tables_number 123
_symmetry_space_group_name_Hall '-P 4 2'
_cell_length_a 4.5874
_cell_length_b 4.5874
_cell_length_c 5.2953
_cell_angle_alpha 90.00
_cell_angle_beta 90.00
_cell_angle_gamma 90.00
loop_
_atom_site_label
_atom_site_type_symbol
_atom_site_fract_x
_atom_site_fract_y
_atom_site_fract_z
Be1 Be 0.0000 0.0000 0.0000
Tl1 Tl 0.5000 0.5000 0.5000
Cd1 Cd 0.0000 0.0000 0.5000
As1 As 0.0000 0.5000 0.0000
# spin magnetization: 0.00 μB per formula unit

***

B) # BeTlCdAs2 (PBE, relaxed)
data_BeTlCdAs2
_chemical_formula_sum 'Be4 Tl4 Cd4 As8'
_symmetry_space_group_name_H-M 'C 1 2/m 1'
_symmetry_Int_Tables_number 12
_cell_length_a 13.3369
_cell_length_b 3.8921
_cell_length_c 10.2737
_cell_angle_alpha 90.00
_cell_angle_beta 120.96
_cell_angle_gamma 90.00
loop_
_symmetry_equiv_pos_as_xyz
'x,y,z'
'-x,-y,-z'
'-x,y,-z'
'x,-y,z'
'x+1/2,y+1/2,z'
'-x+1/2,-y+1/2,-z'
'-x+1/2,y+1/2,-z'
'x+1/2,-y+1/2,z'
loop_
_atom_site_label
_atom_site_type_symbol
_atom_site_fract_x
_atom_site_fract_y
_atom_site_fract_z
Be1 Be 0.0481 0.0000 0.1959
Tl1 Tl 0.1515 0.0000 0.5984
Cd1 Cd 0.1338 0.5000 0.8662
As1 As 0.0980 0.5000 0.3364
As2 As 0.1395 0.0000 0.0620
# spin magnetization: 0.00 μB per formula unit

***

Pick B): it beats the second-best structure by 265 meV per atom.

***

A) # CeBeAs2 (PBE, relaxed)
data_CeBeAs2
_chemical_formula_sum 'Ce2 Be2 As4'
_symmetry_space_group_name_H-M 'P 4/n m m'
_symmetry_Int_Tables_number 129
_cell_length_a 3.9820
_cell_length_b 3.9820
_cell_length_c 9.6595
_cell_angle_alpha 90.00
_cell_angle_beta 90.00
_cell_angle_gamma 90.00
loop_
_symmetry_equiv_pos_as_xyz
'x,y,z'
'-x,-y,-z'
'-y+1/2,x,z'
'y+1/2,-x,-z'
'-x+1/2,-y+1/2,z'
'x+1/2,y+1/2,-z'
'y,-x+1/2,z'
'-y,x+1/2,-z'
'x+1/2,-y,-z'
'-x+1/2,y,z'
'-y,-x,-z'
'y,x,z'
'-x,y+1/2,-z'
'x,-y+1/2,z'
'y+1/2,x+1/2,-z'
'-y+1/2,-x+1/2,z'
loop_
_atom_site_label
_atom_site_type_symbol
_atom_site_fract_x
_atom_site_fract_y
_atom_site_fract_z
Ce1 Ce 0.2500 0.2500 0.2372
Be1 Be 0.2500 0.7500 0.5000
As1 As 0.2500 0.2500 0.6300
As2 As 0.2500 0.7500 0.0000
# spin magnetization: 0.85 μB per formula unit

***

B) # CeBeAs2 (PBE, relaxed)
data_CeBeAs2
_chemical_formula_sum 'Ce3 Be3 As6'
_symmetry_space_group_name_H-M 'R -3 m'
_symmetry_Int_Tables_number 166
_symmetry_space_group_name_Hall '-R 3 2"'
_cell_length_a 4.4564
_cell_length_b 4.4564
_cell_length_c 20.9387
_cell_angle_alpha 90.00
_cell_angle_beta 90.00
_cell_angle_gamma 120.00
loop_
_atom_site_label
_atom_site_type_symbol
_atom_site_fract_x
_atom_site_fract_y
_atom_site_fract_z
Ce1 Ce 0.0000 0.0000 0.0000
Be1 Be 0.0000 0.0000 0.5000
As1 As 0.0000 0.0000 0.4006
# spin magnetization: 0.00 μB per formula unit

***

Pick A): it beats the second-best structure by 337 meV per atom.

***

A) # BeAs2Cl (PBE, relaxed)
data_BeAs2Cl
_chemical_formula_sum 'Be2 As4 Cl2'
_symmetry_space_group_name_H-M 'C m m m'
_symmetry_Int_Tables_number 65
_symmetry_space_group_name_Hall '-C 2 2'
_cell_length_a 4.8402
_cell_length_b 11.2470
_cell_length_c 2.8438
_cell_angle_alpha 90.00
_cell_angle_beta 90.00
_cell_angle_gamma 90.00
loop_
_atom_site_label
_atom_site_type_symbol
_atom_site_fract_x
_atom_site_fract_y
_atom_site_fract_z
Be1 Be 0.0000 0.0000 0.0000
As1 As 0.2500 0.2500 0.5000
Cl1 Cl 0.0000 0.5000 0.0000
# spin magnetization: 0.00 μB per formula unit

***

B) # BeAs2Cl (PBE, relaxed)
data_BeAs2Cl
_chemical_formula_sum 'Be1 As2 Cl1'
_symmetry_space_group_name_H-M 'P 1 m 1'
_symmetry_Int_Tables_number 6
_cell_length_a 4.1487
_cell_length_b 3.3907
_cell_length_c 7.5458
_cell_angle_alpha 90.00
_cell_angle_beta 102.62
_cell_angle_gamma 90.00
loop_
_symmetry_equiv_pos_as_xyz
'x,y,z'
'x,-y,z'
loop_
_atom_site_label
_atom_site_type_symbol
_atom_site_fract_x
_atom_site_fract_y
_atom_site_fract_z
Be1 Be 0.0000 0.0000 0.0000
As1 As 0.1320 0.0000 0.3064
As2 As 0.6998 0.5000 0.2293
Cl1 Cl 0.9753 0.5000 0.8359
# spin magnetization: 0.00 μB per formula unit

***

Pick B): it beats the second-best structure by 785 meV per atom.